Material: Li3VF6
Method: DFT, GGA+U
State: optimized geometry

Values from the calculation:
- V (Å³ per atom) = 10.51
- offset from the most stable computed form (meV per atom) = 24
- total DFT energy (no corrections) (eV/atom) = -5.3580
- symmetry = No. 14
- magnetic moment (Bohr magnetons per cell) = 4.000
- Fermi-level density of states (states/eV/atom) = 0.00

abc: 5.198 5.163 9.390
angles: 56.50 90.00 90.00
Each line ends with the local moment (μB).
Positions (direct):
Li: 0.500 0.500 0.000  0.00
Li: 0.028 0.723 0.769  0.00
Li: 0.528 0.277 0.731  0.00
Li: 0.000 0.500 0.500  0.00
Li: 0.472 0.723 0.269  0.00
Li: 0.972 0.277 0.231  0.00
V: 0.500 0.000 0.500  1.91
V: 0.000 0.000 0.000  1.91
F: 0.398 0.637 0.731  0.00
F: 0.186 0.930 0.411  0.00
F: 0.176 0.274 0.054  0.00
F: 0.676 0.726 0.446  0.00
F: 0.686 0.070 0.089  0.00
F: 0.898 0.363 0.769  0.00
F: 0.102 0.637 0.231  0.00
F: 0.314 0.930 0.911  0.00
F: 0.324 0.274 0.554  0.00
F: 0.824 0.726 0.946  0.00
F: 0.814 0.070 0.589  0.00
F: 0.602 0.363 0.269  0.00